VASP calculation (PBE) on a geometry-optimized BaAlZn2Ga structure.

Lattice parameters (Å, degrees): 4.5665 4.5665 10.9459 90.00 90.00 90.00
Space group I4mm (No. 107)
One atom of each set of equivalent atoms:
1 Ba 0.0000 0.0000 0.0000
2 Al 0.0000 0.0000 0.3736
3 Zn 0.0000 0.5000 0.2487
4 Ga 0.0000 0.0000 0.6216


VASP calculation (PBE) on a geometry-optimized BaGdAl structure.

Lattice parameters (Å, degrees): 7.7192 7.7192 7.7192 90.00 90.00 90.00
Space group F-43m (No. 216)
One atom of each set of equivalent atoms:
1 Ba 0.0000 0.0000 0.0000
2 Gd 0.0000 0.0000 0.5000
3 Al 0.2500 0.2500 0.2500

Calculated values
Polymorph energy (0 for the lowest one): 0.0000 eV per atom


VASP calculation (PBE) on a geometry-optimized BaGdAlS3 structure.

Lattice parameters (Å, degrees): 4.2214 13.4333 10.5389 90.00 90.00 90.00
Space group Cmcm (No. 63)
One atom of each set of equivalent atoms:
1 Ba 0.0000 0.2334 0.2500
2 Gd 0.0000 0.5000 0.0000
3 Al 0.0000 0.0253 0.7500
4 S 0.0000 0.1348 0.5792
5 S 0.0000 0.4454 0.7500


VASP calculation (PBE) on a geometry-optimized Ba2HoAl3Ge2Pt structure.

Lattice parameters (Å, degrees): 4.2749 14.6273 7.1507 90.00 90.00 90.00
Space group Amm2 (No. 38)
One atom of each set of equivalent atoms:
1 Ba 0.0000 0.2126 0.0000
2 Ho 0.0000 0.0000 0.3749
3 Al 0.5000 0.0000 0.0251
4 Al 0.5000 0.0903 0.6664
5 Ge 0.5000 0.1324 0.3115
6 Pt 0.0000 0.0000 0.7945


VASP calculation (PBE) on a geometry-optimized BaHfAl2 structure.

Lattice parameters (Å, degrees): 7.2672 7.2672 7.2672 90.00 90.00 90.00
Space group F-43m (No. 216)
One atom of each set of equivalent atoms:
1 Ba 0.0000 0.0000 0.0000
2 Hf 0.2500 0.2500 0.7500
3 Al 0.0000 0.0000 0.5000
4 Al 0.2500 0.2500 0.2500


VASP calculation (PBE) on a geometry-optimized Ba2Al3Hg structure.

Lattice parameters (Å, degrees): 11.5879 4.9824 8.1600 90.00 133.37 90.00
Space group Cm (No. 8)
One atom of each set of equivalent atoms:
1 Ba 0.0000 0.0000 0.0000
2 Ba 0.0092 0.5000 0.6255
3 Al 0.1749 0.0000 0.5617
4 Al 0.1885 0.5000 0.4031
5 Al 0.3312 0.5000 0.2346
6 Hg 0.3201 0.0000 0.0441


VASP calculation (PBE) on a geometry-optimized BaHoAl4Pd2 structure.

Lattice parameters (Å, degrees): 7.3936 4.2601 10.9432 90.00 90.00 90.00
Space group Amm2 (No. 38)
One atom of each set of equivalent atoms:
1 Ba 0.0000 0.0000 0.0000
2 Ho 0.5000 0.0000 0.8908
3 Al 0.2048 0.0000 0.2802
4 Al 0.3171 0.0000 0.6149
5 Pd 0.0000 0.0000 0.7265
6 Pd 0.5000 0.0000 0.1624


VASP calculation (PBE) on a geometry-optimized BaAlIn3Ir structure.

Lattice parameters (Å, degrees): 8.9614 4.2701 7.8776 90.00 90.00 90.00
Space group Pmma (No. 51)
One atom of each set of equivalent atoms:
1 Ba 0.2500 0.0000 0.1205
2 Al 0.2500 0.5000 0.4798
3 In 0.0000 0.0000 0.5000
4 In 0.0644 0.5000 0.8016
5 Ir 0.2500 0.0000 0.6697

Calculated values
Polymorph energy (0 for the lowest one): 0.0813 eV per atom


Number 1: DFT total energy -2.521 eV/atom. Number 2: DFT total energy -3.257 eV/atom. Number 3: DFT total energy -5.237 eV/atom. Number 4: DFT total energy -4.520 eV/atom. Number 5: DFT total energy -4.263 eV/atom. Number 6: DFT total energy -2.835 eV/atom. Number 7: DFT total energy -4.564 eV/atom. Number 8: DFT total energy -4.160 eV/atom.